No. 1
Crystalline Cd4Hg5Pb at its relaxed geometry. Source: Alexandria via LeMat-Bulk, functional PBE-GGA.

Cell lengths 6.0464, 9.2495, 9.6482 Å; angles 90.00, 90.00, 90.00 degrees
Sites, in units of the cell vectors:
Cd: 0.8689 0.0000 0.8454
Cd: 0.4028 0.6556 0.0000
Cd: 0.4028 0.3444 0.0000
Cd: 0.8689 0.0000 0.1546
Cd: 0.1311 0.5000 0.3454
Cd: 0.5972 0.8444 0.5000
Cd: 0.5972 0.1556 0.5000
Cd: 0.1311 0.5000 0.6546
Hg: 0.2505 0.8058 0.7300
Hg: 0.2505 0.1942 0.7300
Hg: 0.9512 0.5000 0.0000
Hg: 0.2505 0.8058 0.2700
Hg: 0.2505 0.1942 0.2700
Hg: 0.7495 0.6942 0.2300
Hg: 0.7495 0.3058 0.2300
Hg: 0.0488 0.0000 0.5000
Hg: 0.7495 0.3058 0.7700
Hg: 0.7495 0.6942 0.7700
Pb: 0.3919 0.0000 0.0000
Pb: 0.6081 0.5000 0.5000

Calculated values
The symmetry is No. 59. As for the total energy: -0.830 eV per atom. Its energy of formation from the pure elements is 58 meV per atom.

***

No. 2
Crystalline Cd3Hg2Pb2 at its relaxed geometry. Source: Alexandria via LeMat-Bulk, functional PBE-GGA.

Cell lengths 3.2993, 3.3191, 16.8251 Å; angles 95.66, 90.00, 90.00 degrees
Sites, in units of the cell vectors:
Cd: 0.5000 0.5626 0.1253
Cd: 0.5000 0.4374 0.8747
Cd: 0.0000 0.0000 0.0000
Hg: 0.0000 0.8723 0.7446
Hg: 0.0000 0.1277 0.2554
Pb: 0.5000 0.7049 0.4097
Pb: 0.5000 0.2951 0.5903

Calculated values
The energy above the most stable polymorph in this dataset comes out at 6 meV/atom. The symmetry is No. 65. As for the total energy: -1.487 eV per atom. Its energy of formation from the pure elements is 51 meV per atom.

***

No. 3
Crystalline Cd3Hg7Pb2 at its relaxed geometry. Source: Alexandria via LeMat-Bulk, functional PBE-GGA.

Cell lengths 3.2319, 5.9148, 17.6807 Å; angles 108.25, 90.00, 90.00 degrees
Sites, in units of the cell vectors:
Cd: 0.5000 0.5000 0.0000
Cd: 0.0000 0.3107 0.3474
Cd: 0.0000 0.6893 0.6526
Hg: 0.5000 0.7552 0.5057
Hg: 0.5000 0.2448 0.4943
Hg: 0.0000 0.5942 0.1516
Hg: 0.0000 0.0000 0.0000
Hg: 0.0000 0.4058 0.8484
Hg: 0.5000 0.8736 0.8195
Hg: 0.5000 0.1264 0.1805
Pb: 0.5000 0.7775 0.3216
Pb: 0.5000 0.2225 0.6784

Calculated values
The symmetry is No. 10. As for the total energy: -0.983 eV per atom. Its energy of formation from the pure elements is 39 meV per atom.

***

No. 4
Crystalline CdHg3Pb5 at its relaxed geometry. Source: Alexandria via LeMat-Bulk, functional PBE-GGA.

Cell lengths 6.5177, 9.5871, 9.5871 Å; angles 120.00, 90.00, 90.00 degrees
Sites, in units of the cell vectors:
Cd: 0.0000 0.0000 0.0000
Cd: 0.5000 0.0000 0.0000
Hg: 0.7500 0.3688 0.0000
Hg: 0.7500 0.6312 0.6312
Hg: 0.7500 0.0000 0.3688
Hg: 0.2500 0.6312 0.0000
Hg: 0.2500 0.3688 0.3688
Hg: 0.2500 0.0000 0.6312
Pb: 0.0000 0.3333 0.6667
Pb: 0.5000 0.6667 0.3333
Pb: 0.0000 0.6667 0.3333
Pb: 0.5000 0.3333 0.6667
Pb: 0.7500 0.7066 0.0000
Pb: 0.7500 0.2934 0.2934
Pb: 0.7500 0.0000 0.7066
Pb: 0.2500 0.2934 0.0000
Pb: 0.2500 0.7066 0.7066
Pb: 0.2500 0.0000 0.2934

Calculated values
The energy above the most stable polymorph in this dataset comes out at 0 meV/atom. The symmetry is No. 193. As for the total energy: -2.213 eV per atom. Its energy of formation from the pure elements is 50 meV per atom.

***

energy of formation from the pure elements of number 1 (Cd4Hg5Pb)? 58 meV per atom

***

energy of formation from the pure elements of number 2 (Cd3Hg2Pb2)? 51 meV per atom

***

The highest energy of formation from the pure elements belongs to which entry? Cd4Hg5Pb

***

What is the energy of formation from the pure elements in the fourth record? 50 meV per atom